[1]
Crystalline LaAuS2 at its relaxed geometry, computed with GGA-PBE.

Summary:
E above lowest polymorph   0.17 eV/f.u.
D(E_F)   0.00 states/eV/atom
Final energy   -5.470 eV per atom
E_form (uncorrected)   -1.35 eV/atom

Unit cell a=4.441 b=4.449 c=7.178 alpha=95.77 beta=102.29 gamma=117.63
Space group P-1 (No. 2)
Symmetry-distinct sites (fractional):
La (0.000, 0.000, 0.000)
Au (0.500, 0.000, 0.500)
S (0.444, 0.735, 0.192)

***

[2]
Crystalline Nd2YErTm at its relaxed geometry, computed with GGA-PBE.

Summary:
D(E_F)   1.30 states/eV/atom
Final energy   -4.596 eV per atom
Energy of formation   2.1 eV per formula unit

Unit cell a=8.402 b=11.540 c=7.267 alpha=90.00 beta=90.00 gamma=90.00
Space group Cmcm (No. 63)
Symmetry-distinct sites (fractional):
Nd (0.195, 0.000, 0.000)
Y (0.000, 0.241, 0.250)
Er (0.000, 0.214, 0.750)
Tm (0.000, 0.479, 0.750)

***

[3]
Crystalline NiHgMo3 at its relaxed geometry, computed with GGA-PBE.

Summary:
E above lowest polymorph   0.00 eV/f.u.
D(E_F)   1.33 states/eV/atom
Final energy   -6.458 eV per atom
Energy of formation   6.3 eV per formula unit

Unit cell a=4.510 b=4.510 c=4.510 alpha=90.00 beta=90.00 gamma=90.00
Space group Pm-3m (No. 221)
Symmetry-distinct sites (fractional):
Ni (0.000, 0.000, 0.000)
Hg (0.500, 0.500, 0.500)
Mo (0.000, 0.000, 0.500)

***

[4]
Crystalline LiV5Ru6 at its relaxed geometry, computed with GGA-PBE.

Summary:
D(E_F)   0.68 states/eV/atom
Final energy   -8.873 eV per atom
Energy of formation   -3.3 eV per formula unit

Unit cell a=4.243 b=5.964 c=12.685 alpha=90.00 beta=90.00 gamma=90.00
Space group Immm (No. 71)
Symmetry-distinct sites (fractional):
Li (0.000, 0.000, 0.000)
V (0.000, 0.000, 0.338)
V (0.000, 0.500, 0.000)
V (0.000, 0.500, 0.335)
Ru (0.000, 0.249, 0.168)
Ru (0.000, 0.253, 0.500)

***

[5]
Crystalline ReCl at its relaxed geometry, computed with GGA-PBE.

Summary:
E above lowest polymorph   0.31 eV/f.u.
D(E_F)   0.03 states/eV/atom
Final energy   -7.103 eV per atom
E_form (uncorrected)   0.04 eV/atom

Unit cell a=3.4231 b=3.4231 c=25.6155 alpha=90.00 beta=90.00 gamma=120.00
Space group R-3m (No. 166, hexagonal axes)
Symmetry-distinct sites (fractional):
Re (0.0000, 0.0000, 0.1398)
Cl (0.0000, 0.0000, 0.3990)

***

[6]
Crystalline DyCu6Au12 at its relaxed geometry, computed with GGA-PBE.

Summary:
D(E_F)   0.32 states/eV/atom
Final energy   -3.650 eV per atom
Energy of formation   -0.8 eV per formula unit

Unit cell a=11.8288 b=11.8288 c=8.5570 alpha=90.00 beta=90.00 gamma=120.00
Space group R-3m (No. 166, hexagonal axes)
Symmetry-distinct sites (fractional):
Dy (0.0000, 0.0000, 0.0000)
Cu (0.0694, 0.5347, 0.2423)
Au (0.0000, 0.3813, 0.5000)
Au (0.0833, 0.1665, 0.2846)